a) # NbCoHgI

An optimized crystal structure of NbCoHgI (PBE-GGA, the Alexandria database).

a b c (Å): 8.9279 3.5607 6.5731
angles (deg): 90.00 113.93 90.00
Closest atoms and distances in Å follow each position.
Space group Cm (No. 8)
Inequivalent atoms, fractional coordinates:
Nb  0.0000  0.0000  0.0000 x2  2 Co 2.34
Co  0.0122  0.5000  0.2362 x2  2 Nb 2.34, 1 Hg 2.51
Hg  0.2985  0.5000  0.2547 x2  3 Co 2.51-2.65
I  0.1401  0.5000  0.7015 x2  1 Co 2.80, 1 Nb 3.01

* magnetic moment: 0.000 μB per cell

=====

b) # NbCoHgI

An optimized crystal structure of NbCoHgI (PBE-GGA, the Alexandria database).

a b c (Å): 4.1143 4.1240 6.8523
angles (deg): 84.21 87.35 60.12
Closest atoms and distances in Å follow each position.
Space group P1 (No. 1)
Inequivalent atoms, fractional coordinates:
Nb  0.0000  0.0000  0.0000 x1  3 Co 2.44
Co  0.6676  0.6519  0.0793 x1  3 Nb 2.44, 1 I 2.50, 3 Hg 2.68-2.70
Hg  0.3352  0.2888  0.2635 x1  3 Co 2.68-2.70, 3 Nb 2.98
I  0.6663  0.7206  0.7129 x1  1 Co 2.50

* magnetic moment: 0.000 μB per cell

=====

Decreasing stability: b), a)